[1]
Computed, not measured: a relaxed Li2Pt3S4 crystal at the PBE-GGA level of DFT.

Geometry as CIF:
```
data_Li2Pt3S4
_chemical_formula_sum 'Li4 Pt6 S8'
_cell_length_a 5.034
_cell_length_b 10.140
_cell_length_c 6.153
_cell_angle_alpha 90.00
_cell_angle_beta 110.65
_cell_angle_gamma 90.00
_symmetry_space_group_name_H-M 'P 1 21/c 1'
_symmetry_Int_Tables_number 14
_symmetry_space_group_name_Hall '-P 2ybc'
loop_
_atom_site_label
_atom_site_type_symbol
_atom_site_fract_x
_atom_site_fract_y
_atom_site_fract_z
Li1 Li 0.131 0.197 0.489
Pt1 Pt 0.226 0.629 0.468
Pt2 Pt 0.500 0.000 0.500
S1 S 0.036 0.552 0.742
S2 S 0.456 0.691 0.207
```

[2]
Computed, not measured: a relaxed LiPt3S5 crystal at the PBE-GGA level of DFT.

Geometry as CIF:
```
data_LiPt3S5
_chemical_formula_sum 'Li1 Pt3 S5'
_cell_length_a 6.1533
_cell_length_b 6.1533
_cell_length_c 6.2981
_cell_angle_alpha 90.00
_cell_angle_beta 90.00
_cell_angle_gamma 120.00
_symmetry_space_group_name_H-M 'P 6/m m m'
_symmetry_Int_Tables_number 191
_symmetry_space_group_name_Hall '-P 6 2'
loop_
_atom_site_label
_atom_site_type_symbol
_atom_site_fract_x
_atom_site_fract_y
_atom_site_fract_z
Li1 Li 0.0000 0.0000 0.0000
Pt1 Pt 0.0000 0.5000 0.5000
S1 S 0.0000 0.0000 0.5000
S2 S 0.3333 0.6667 0.2544
```

[3]
Computed, not measured: a relaxed Li2PtS3 crystal at the PBE-GGA level of DFT.

Geometry as CIF:
```
data_Li2PtS3
_chemical_formula_sum 'Li8 Pt4 S12'
_cell_length_a 6.240
_cell_length_b 10.790
_cell_length_c 6.220
_cell_angle_alpha 90.00
_cell_angle_beta 109.34
_cell_angle_gamma 90.00
_symmetry_space_group_name_H-M 'C 1 2/m 1'
_symmetry_Int_Tables_number 12
_symmetry_space_group_name_Hall '-C 2y'
loop_
_atom_site_label
_atom_site_type_symbol
_atom_site_fract_x
_atom_site_fract_y
_atom_site_fract_z
Li1 Li 0.000 0.000 0.000
Li2 Li 0.000 0.171 0.500
Li3 Li 0.000 0.500 0.500
Pt1 Pt 0.000 0.334 0.000
S1 S 0.218 0.500 0.229
S2 S 0.248 0.322 0.776
```

[4]
Computed, not measured: a relaxed LiTmPtS3 crystal at the PBE-GGA level of DFT.

Geometry as CIF:
```
data_LiTmPtS3
_chemical_formula_sum 'Li4 Tm4 Pt4 S12'
_cell_length_a 3.674
_cell_length_b 13.172
_cell_length_c 10.049
_cell_angle_alpha 90.00
_cell_angle_beta 90.00
_cell_angle_gamma 90.00
_symmetry_space_group_name_H-M 'C m c m'
_symmetry_Int_Tables_number 63
_symmetry_space_group_name_Hall '-C 2c 2'
loop_
_atom_site_label
_atom_site_type_symbol
_atom_site_fract_x
_atom_site_fract_y
_atom_site_fract_z
Li1 Li 0.000 0.196 0.250
Tm1 Tm 0.000 0.000 0.000
Pt1 Pt 0.000 0.491 0.750
S1 S 0.000 0.103 0.750
S2 S 0.000 0.361 0.580
```

[5]
Computed, not measured: a relaxed Li6SbPt crystal at the PBE-GGA level of DFT.

Geometry as CIF:
```
data_Li6SbPt
_chemical_formula_sum 'Li6 Sb1 Pt1'
_cell_length_a 4.380
_cell_length_b 4.380
_cell_length_c 6.162
_cell_angle_alpha 90.00
_cell_angle_beta 90.00
_cell_angle_gamma 90.00
_symmetry_space_group_name_H-M 'P 4/m m m'
_symmetry_Int_Tables_number 123
_symmetry_space_group_name_Hall '-P 4 2'
loop_
_atom_site_label
_atom_site_type_symbol
_atom_site_fract_x
_atom_site_fract_y
_atom_site_fract_z
Li1 Li 0.000 0.000 0.000
Li2 Li 0.000 0.500 0.235
Li3 Li 0.500 0.500 0.500
Sb1 Sb 0.000 0.000 0.500
Pt1 Pt 0.500 0.500 0.000
```

[6]
Computed, not measured: a relaxed Li2Sb2Pt3 crystal at the PBE-GGA level of DFT.

Geometry as CIF:
```
data_Li2Sb2Pt3
_chemical_formula_sum 'Li6 Sb6 Pt9'
_cell_length_a 4.4446
_cell_length_b 4.4446
_cell_length_c 21.6861
_cell_angle_alpha 90.00
_cell_angle_beta 90.00
_cell_angle_gamma 120.00
_symmetry_space_group_name_H-M 'R 3 m'
_symmetry_Int_Tables_number 160
_symmetry_space_group_name_Hall 'R 3 -2"'
loop_
_atom_site_label
_atom_site_type_symbol
_atom_site_fract_x
_atom_site_fract_y
_atom_site_fract_z
Li1 Li 0.0000 0.0000 0.0000
Li2 Li 0.0000 0.0000 0.4889
Sb1 Sb 0.0000 0.0000 0.2389
Sb2 Sb 0.0000 0.0000 0.7464
Pt1 Pt 0.0000 0.0000 0.3660
Pt2 Pt 0.0000 0.0000 0.6196
Pt3 Pt 0.0000 0.0000 0.8699
```

In eV/atom, the final energy values for the records above are, in order, -4.976; -4.657; -4.494; -5.231; -3.184; -4.896.